# 1
VASP calculation (PBE) on crystalline TaTe2Mo at its relaxed geometry.

```
data_TaTe2Mo
_chemical_formula_sum 'Ta2 Te4 Mo2'
_symmetry_space_group_name_H-M 'C m m m'
_symmetry_Int_Tables_number 65
_symmetry_space_group_name_Hall '-C 2 2'
_cell_length_a 3.411
_cell_length_b 5.488
_cell_length_c 8.895
_cell_angle_alpha 90.00
_cell_angle_beta 90.00
_cell_angle_gamma 90.00
loop_
_atom_site_label
_atom_site_type_symbol
_atom_site_fract_x
_atom_site_fract_y
_atom_site_fract_z
_atom_site_occupancy
Ta1 Ta 0.000 0.000 0.000 1
Te1 Te 0.000 0.500 0.257 1
Mo1 Mo 0.000 0.000 0.500 1
```

Results
distance to the lowest polymorph of the same formula = 920.5 meV/atom
raw formation energy = 0.737 eV per atom

---

# 2
VASP calculation (PBE) on crystalline PrSm4Dy at its relaxed geometry.

```
data_PrSm4Dy
_chemical_formula_sum 'Pr4 Sm16 Dy4'
_symmetry_space_group_name_H-M 'F -4 3 m'
_symmetry_Int_Tables_number 216
_symmetry_space_group_name_Hall 'F -4 2 3'
_cell_length_a 9.443
_cell_length_b 9.443
_cell_length_c 9.443
_cell_angle_alpha 90.00
_cell_angle_beta 90.00
_cell_angle_gamma 90.00
loop_
_atom_site_label
_atom_site_type_symbol
_atom_site_fract_x
_atom_site_fract_y
_atom_site_fract_z
_atom_site_occupancy
Pr1 Pr 0.000 0.000 0.000 1
Sm1 Sm 0.124 0.124 0.624 1
Dy1 Dy 0.250 0.250 0.250 1
```

Results
distance to the lowest polymorph of the same formula = 244.0 meV/atom
DFT formation energy = 0.26 eV per atom

---

# 3
VASP calculation (PBE) on crystalline Rb4Pr3ZrTe8 at its relaxed geometry.

```
data_Rb4Pr3ZrTe8
_chemical_formula_sum 'Rb12 Pr9 Zr3 Te24'
_symmetry_space_group_name_H-M 'R -3 m'
_symmetry_Int_Tables_number 166
_symmetry_space_group_name_Hall '-R 3 2"'
_cell_length_a 9.1323
_cell_length_b 9.1323
_cell_length_c 25.8219
_cell_angle_alpha 90.00
_cell_angle_beta 90.00
_cell_angle_gamma 120.00
loop_
_atom_site_label
_atom_site_type_symbol
_atom_site_fract_x
_atom_site_fract_y
_atom_site_fract_z
_atom_site_occupancy
Rb1 Rb 0.0000 0.0000 0.0000 1
Rb2 Rb 0.0000 0.5000 0.0000 1
Pr1 Pr 0.0000 0.5000 0.5000 1
Zr1 Zr 0.0000 0.0000 0.5000 1
Te1 Te 0.0000 0.0000 0.2370 1
Te2 Te 0.0199 0.5099 0.2336 1
```

Results
raw formation energy = -1.271 eV per atom

---

# 4
VASP calculation (PBE) on crystalline MnCdIr2 at its relaxed geometry.

```
data_MnCdIr2
_chemical_formula_sum 'Mn1 Cd1 Ir2'
_symmetry_space_group_name_H-M 'P 1 m 1'
_symmetry_Int_Tables_number 6
_cell_length_a 2.809
_cell_length_b 3.928
_cell_length_c 5.675
_cell_angle_alpha 90.00
_cell_angle_beta 90.18
_cell_angle_gamma 90.00
loop_
_symmetry_equiv_pos_as_xyz
'x,y,z'
'x,-y,z'
loop_
_atom_site_label
_atom_site_type_symbol
_atom_site_fract_x
_atom_site_fract_y
_atom_site_fract_z
_atom_site_occupancy
Mn1 Mn 0.000 0.000 0.000 1
Cd1 Cd 0.500 0.500 0.718 1
Ir1 Ir 0.000 0.000 0.449 1
Ir2 Ir 0.499 0.500 0.212 1
```

Results
DFT formation energy = 0.11 eV per atom

---

# 5
VASP calculation (PBE) on crystalline MnCuAgBr5 at its relaxed geometry.

```
data_MnCuAgBr5
_chemical_formula_sum 'Mn4 Cu4 Ag4 Br20'
_symmetry_space_group_name_H-M 'C 1 2/c 1'
_symmetry_Int_Tables_number 15
_cell_length_a 8.422
_cell_length_b 10.858
_cell_length_c 10.917
_cell_angle_alpha 90.00
_cell_angle_beta 96.09
_cell_angle_gamma 90.00
loop_
_symmetry_equiv_pos_as_xyz
'x,y,z'
'-x,-y,-z'
'-x,y,-z+1/2'
'x,-y,z+1/2'
'x+1/2,y+1/2,z'
'-x+1/2,-y+1/2,-z'
'-x+1/2,y+1/2,-z+1/2'
'x+1/2,-y+1/2,z+1/2'
loop_
_atom_site_label
_atom_site_type_symbol
_atom_site_fract_x
_atom_site_fract_y
_atom_site_fract_z
_atom_site_occupancy
Mn1 Mn 0.000 0.102 0.250 1
Cu1 Cu 0.000 0.433 0.250 1
Ag1 Ag 0.250 0.250 0.000 1
Br1 Br 0.000 0.117 0.750 1
Br2 Br 0.037 0.277 0.418 1
Br3 Br 0.206 0.407 0.782 1
```

Results
raw formation energy = -0.422 eV per atom

---

# 6
VASP calculation (PBE) on crystalline Co2HgTe at its relaxed geometry.

```
data_Co2HgTe
_chemical_formula_sum 'Co4 Hg2 Te2'
_symmetry_space_group_name_H-M 'I -4 m 2'
_symmetry_Int_Tables_number 119
_symmetry_space_group_name_Hall 'I -4 -2'
_cell_length_a 3.820
_cell_length_b 3.820
_cell_length_c 9.319
_cell_angle_alpha 90.00
_cell_angle_beta 90.00
_cell_angle_gamma 90.00
loop_
_atom_site_label
_atom_site_type_symbol
_atom_site_fract_x
_atom_site_fract_y
_atom_site_fract_z
_atom_site_occupancy
Co1 Co 0.000 0.000 0.000 1
Co2 Co 0.000 0.500 0.250 1
Hg1 Hg 0.000 0.500 0.750 1
Te1 Te 0.000 0.000 0.500 1
```

Results
distance to the lowest polymorph of the same formula = 297.6 meV/atom
raw formation energy = 0.577 eV per atom